[1]
DFT (PBE) results for a relaxed KTm2PuO6 crystal.

Unit cell a=6.184 b=6.184 c=6.184 alpha=56.65 beta=56.65 gamma=56.65
Fractional coordinates of all 10 atoms:
K: 0.000 0.000 0.000
Tm: 0.257 0.257 0.257
Tm: 0.773 0.773 0.773
Pu: 0.462 0.462 0.462
O: 0.072 0.590 0.449
O: 0.182 0.524 0.862
O: 0.449 0.072 0.590
O: 0.524 0.862 0.182
O: 0.590 0.449 0.072
O: 0.862 0.182 0.524

- Density: 7.72 g cm⁻³
- Volume: 154.27 Å³/cell
- Space group: No. 146
- Formation energy from raw total energies: -30.1 eV/f.u.

=====

[2]
DFT (PBE) results for a relaxed DyAl3Fe2 crystal.

Unit cell a=6.232 b=6.232 c=5.140 alpha=90.00 beta=90.00 gamma=81.33
Fractional coordinates of all 12 atoms:
Dy: 0.148 0.852 0.750
Dy: 0.852 0.148 0.250
Al: 0.042 0.579 0.250
Al: 0.421 0.958 0.250
Al: 0.470 0.530 0.250
Al: 0.530 0.470 0.750
Al: 0.579 0.042 0.750
Al: 0.958 0.421 0.750
Fe: 0.277 0.277 0.000
Fe: 0.277 0.277 0.500
Fe: 0.723 0.723 0.000
Fe: 0.723 0.723 0.500

- Density: 5.98 g cm⁻³
- Volume: 197.30 Å³/cell
- Space group: No. 63
- E_tot: -69.8 eV for the cell shown

=====

[3]
DFT (PBE) results for a relaxed Al2Ni8W crystal.

Unit cell a=6.125 b=6.125 c=3.781 alpha=90.00 beta=90.00 gamma=106.00
Fractional coordinates of all 11 atoms:
Al: 0.128 0.872 0.000
Al: 0.872 0.128 0.000
Ni: 0.166 0.166 0.500
Ni: 0.199 0.462 0.000
Ni: 0.253 0.747 0.500
Ni: 0.462 0.199 0.000
Ni: 0.538 0.801 0.000
Ni: 0.747 0.253 0.500
Ni: 0.801 0.538 0.000
Ni: 0.834 0.834 0.500
W: 0.500 0.500 0.500

- Density: 8.61 g cm⁻³
- Volume: 136.36 Å³/cell
- Space group: No. 65
- E_tot: -68.0 eV for the cell shown

=====

[4]
DFT (PBE) results for a relaxed TaPdPb2 crystal.

Unit cell a=6.994 b=6.994 c=6.994 alpha=90.00 beta=90.00 gamma=90.00
Fractional coordinates of all 16 atoms:
Ta: 0.000 0.000 0.000
Ta: 0.000 0.500 0.500
Ta: 0.500 0.000 0.500
Ta: 0.500 0.500 0.000
Pd: 0.000 0.000 0.500
Pd: 0.000 0.500 0.000
Pd: 0.500 0.000 0.000
Pd: 0.500 0.500 0.500
Pb: 0.250 0.250 0.250
Pb: 0.250 0.250 0.750
Pb: 0.250 0.750 0.250
Pb: 0.250 0.750 0.750
Pb: 0.750 0.250 0.250
Pb: 0.750 0.250 0.750
Pb: 0.750 0.750 0.250
Pb: 0.750 0.750 0.750

- Density: 13.62 g cm⁻³
- Volume: 342.15 Å³/cell
- Space group: No. 225
- Energy above the lowest structure with this stoichiometry: 0.0 meV per atom